A plane-wave DFT calculation with PBE was carried out for a relaxed LiAgBr crystal.

Values from the calculation:
- Energy relative to the lowest polymorph listed for this composition: 6 meV/atom
- Energy: -2.59 eV/atom
- Formation energy from raw total energies: -0.45 eV/atom
- ρ: 4.31 Mg/m³

abc: 3.4176 3.4176 12.8588
angles: 90.00 90.00 90.00
With the nearest neighbours (Å) after each atom.
Space group I4mm (No. 107)
Unique sites:
1 Li 0.0000 0.0000 0.0000 [2 per cell]  4 Br 2.54
2 Ag 0.0000 0.0000 0.6774 [2 per cell]  1 Br 3.07, 4 Li 3.32, 4 Ag 3.42
3 Br 0.0000 0.0000 0.4384 [2 per cell]  4 Li 2.54